Density functional theory data (GGA+U) for crystalline BeFeF4 at its relaxed geometry.

Lattice parameters (Å, degrees): 4.776 4.776 7.959 90.00 90.00 90.00
Space group P-42c (No. 112)
Asymmetric unit:
Be: 0.000 0.500 0.250
Fe: 0.000 0.000 0.000
F: 0.178 0.304 0.366

- energy above the lowest structure with this stoichiometry (meV per atom) = 34.9
- N(E_F) (states/eV per atom) = 0.000